1.
First-principles (PBE) data for a relaxed Sc2GaS4 crystal, as listed in Alexandria.

Cell: 7.458 7.458 7.458 Å, 60.00 60.00 60.00°
Fractional positions:
Sc 0.000 0.000 0.000
Sc 0.000 0.000 0.500
Sc 0.000 0.500 0.000
Sc 0.500 0.000 0.000
Ga 0.375 0.375 0.375
Ga 0.625 0.625 0.625
S 0.237 0.754 0.754
S 0.246 0.246 0.246
S 0.246 0.246 0.763
S 0.246 0.763 0.246
S 0.754 0.237 0.754
S 0.754 0.754 0.237
S 0.754 0.754 0.754
S 0.763 0.246 0.246

2.
First-principles (PBE) data for a relaxed Sc2Ga2S7 crystal, as listed in Alexandria.

Cell: 6.785 6.785 6.472 Å, 102.41 102.41 111.54°
Fractional positions:
Sc 0.186 0.814 0.000
Sc 0.814 0.186 0.000
Ga 0.258 0.258 0.643
Ga 0.742 0.742 0.357
S 0.050 0.401 0.785
S 0.165 0.165 0.254
S 0.401 0.050 0.785
S 0.500 0.500 0.500
S 0.599 0.950 0.215
S 0.835 0.835 0.746
S 0.950 0.599 0.215

3.
First-principles (PBE) data for a relaxed ScGaS3 crystal, as listed in Alexandria.

Cell: 8.119 8.119 7.488 Å, 99.76 99.76 26.57°
Fractional positions:
Sc 0.139 0.139 0.355
Sc 0.861 0.861 0.645
Ga 0.390 0.390 0.156
Ga 0.610 0.610 0.844
S 0.154 0.154 0.012
S 0.311 0.311 0.395
S 0.469 0.469 0.712
S 0.531 0.531 0.288
S 0.689 0.689 0.605
S 0.846 0.846 0.988

4.
First-principles (PBE) data for a relaxed ScGaS3 crystal, as listed in Alexandria.

Cell: 3.718 7.029 11.052 Å, 90.00 90.00 90.00°
Fractional positions:
Sc 0.000 0.000 0.000
Sc 0.000 0.500 0.500
Ga 0.500 0.000 0.649
Ga 0.500 0.500 0.149
S 0.000 0.000 0.771
S 0.000 0.500 0.271
S 0.500 0.239 0.027
S 0.500 0.261 0.527
S 0.500 0.739 0.527
S 0.500 0.761 0.027

5.
First-principles (PBE) data for a relaxed ScGaS crystal, as listed in Alexandria.

Cell: 11.827 3.359 6.459 Å, 90.00 102.30 90.00°
Fractional positions:
Sc 0.119 0.000 0.490
Sc 0.381 0.500 0.510
Sc 0.619 0.500 0.490
Sc 0.881 0.000 0.510
Ga 0.244 0.500 0.843
Ga 0.256 0.000 0.157
Ga 0.744 0.000 0.843
Ga 0.756 0.500 0.157
S 0.027 0.500 0.743
S 0.473 0.000 0.257
S 0.527 0.000 0.743
S 0.973 0.500 0.257

6.
First-principles (PBE) data for a relaxed Sc6GaS4 crystal, as listed in Alexandria.

Cell: 6.399 6.399 18.648 Å, 90.00 90.00 146.89°
Fractional positions:
Sc 0.000 0.000 0.000
Sc 0.000 0.000 0.500
Sc 0.160 0.840 0.750
Sc 0.274 0.726 0.086
Sc 0.274 0.726 0.414
Sc 0.454 0.546 0.663
Sc 0.454 0.546 0.837
Sc 0.546 0.454 0.163
Sc 0.546 0.454 0.337
Sc 0.726 0.274 0.586
Sc 0.726 0.274 0.914
Sc 0.840 0.160 0.250
Ga 0.169 0.831 0.250
Ga 0.831 0.169 0.750
S 0.089 0.911 0.624
S 0.089 0.911 0.876
S 0.361 0.639 0.541
S 0.361 0.639 0.959
S 0.639 0.361 0.041
S 0.639 0.361 0.459
S 0.911 0.089 0.124
S 0.911 0.089 0.376

7.
First-principles (PBE) data for a relaxed Sc4GaSeS2 crystal, as listed in Alexandria.

Cell: 6.625 3.706 6.633 Å, 90.00 108.62 90.00°
Fractional positions:
Sc 0.236 0.000 0.238
Sc 0.253 0.500 0.761
Sc 0.747 0.500 0.239
Sc 0.764 0.000 0.762
Ga 0.000 0.000 0.500
Se 0.500 0.500 0.500
S 0.000 0.500 0.000
S 0.500 0.000 0.000

8.
First-principles (PBE) data for a relaxed ScGaSiS2 crystal, as listed in Alexandria.

Cell: 4.644 4.644 5.088 Å, 90.00 90.00 90.00°
Fractional positions:
Sc 0.000 0.000 0.000
Ga 0.500 0.500 0.000
Si 0.000 0.000 0.500
S 0.000 0.500 0.500
S 0.500 0.000 0.500

9.
First-principles (PBE) data for a relaxed SrScGaS4 crystal, as listed in Alexandria.

Cell: 6.392 6.709 7.925 Å, 90.00 106.76 90.00°
Fractional positions:
Sr 0.235 0.250 0.053
Sr 0.765 0.750 0.947
Sc 0.214 0.250 0.552
Sc 0.786 0.750 0.448
Ga 0.247 0.750 0.333
Ga 0.753 0.250 0.667
S 0.005 0.504 0.715
S 0.005 0.996 0.715
S 0.456 0.750 0.149
S 0.486 0.750 0.599
S 0.514 0.250 0.401
S 0.544 0.250 0.851
S 0.995 0.004 0.285
S 0.995 0.496 0.285

10.
First-principles (PBE) data for a relaxed ScTa2GaS crystal, as listed in Alexandria.

Cell: 4.970 4.970 4.551 Å, 90.00 90.00 90.00°
Fractional positions:
Sc 0.000 0.000 0.000
Ta 0.000 0.500 0.000
Ta 0.500 0.000 0.000
Ga 0.500 0.500 0.500
S 0.000 0.000 0.500

11.
First-principles (PBE) data for a relaxed ScGaTcS2 crystal, as listed in Alexandria.

Cell: 4.684 4.684 4.993 Å, 90.00 90.00 90.00°
Fractional positions:
Sc 0.000 0.000 0.000
Ga 0.000 0.000 0.500
Tc 0.500 0.500 0.000
S 0.000 0.500 0.500
S 0.500 0.000 0.500

12.
First-principles (PBE) data for a relaxed ScGa2TeS crystal, as listed in Alexandria.

Cell: 5.357 5.357 5.149 Å, 90.00 90.00 90.00°
Fractional positions:
Sc 0.000 0.000 0.000
Ga 0.000 0.500 0.500
Ga 0.500 0.000 0.500
Te 0.500 0.500 0.500
S 0.500 0.500 0.000

13.
First-principles (PBE) data for a relaxed Sc6GaTe3S2 crystal, as listed in Alexandria.

Cell: 6.786 6.786 7.026 Å, 99.26 99.26 119.92°
Fractional positions:
Sc 0.094 0.430 0.789
Sc 0.232 0.232 0.208
Sc 0.430 0.094 0.789
Sc 0.570 0.906 0.211
Sc 0.768 0.768 0.792
Sc 0.906 0.570 0.211
Ga 0.500 0.500 0.000
Te 0.000 0.000 0.500
Te 0.335 0.665 0.500
Te 0.665 0.335 0.500
S 0.167 0.833 0.000
S 0.833 0.167 0.000

14.
First-principles (PBE) data for a relaxed ScTi2GaS crystal, as listed in Alexandria.

Cell: 4.777 4.777 5.034 Å, 90.00 90.00 90.00°
Fractional positions:
Sc 0.000 0.000 0.000
Ti 0.000 0.500 0.500
Ti 0.500 0.000 0.500
Ga 0.000 0.000 0.500
S 0.500 0.500 0.000

15.
First-principles (PBE) data for a relaxed ScTl2GaS4 crystal, as listed in Alexandria.

Cell: 8.029 8.029 8.029 Å, 120.63 120.13 89.35°
Fractional positions:
Sc 0.500 0.000 0.000
Sc 0.500 0.500 0.500
Tl 0.000 0.000 0.000
Tl 0.000 0.000 0.500
Tl 0.000 0.500 0.000
Tl 0.500 0.000 0.500
Ga 0.000 0.500 0.500
Ga 0.500 0.500 0.000
S 0.265 0.729 0.536
S 0.267 0.308 0.541
S 0.267 0.726 0.959
S 0.307 0.271 0.036
S 0.693 0.729 0.964
S 0.733 0.274 0.041
S 0.733 0.692 0.459
S 0.735 0.271 0.464

16.
First-principles (PBE) data for a relaxed Sc3Tl3GaS8 crystal, as listed in Alexandria.

Cell: 7.538 7.538 8.521 Å, 116.32 116.32 59.98°
Fractional positions:
Sc 0.000 0.000 0.000
Sc 0.000 0.500 0.000
Sc 0.500 0.000 0.000
Tl 0.000 0.500 0.500
Tl 0.500 0.000 0.500
Tl 0.500 0.500 0.500
Ga 0.500 0.500 0.000
S 0.231 0.231 0.192
S 0.239 0.724 0.187
S 0.276 0.276 0.813
S 0.276 0.761 0.813
S 0.724 0.239 0.187
S 0.724 0.724 0.187
S 0.761 0.276 0.813
S 0.769 0.769 0.808

17.
First-principles (PBE) data for a relaxed ScZnGaS4 crystal, as listed in Alexandria.

Cell: 3.813 3.813 12.924 Å, 90.00 90.00 120.00°
Fractional positions:
Sc 0.000 0.000 0.000
Zn 0.333 0.667 0.714
Ga 0.667 0.333 0.447
S 0.000 0.000 0.372
S 0.000 0.000 0.817
S 0.667 0.333 0.084
S 0.667 0.333 0.619

18.
First-principles (PBE) data for a relaxed GaSeS3 crystal, as listed in Alexandria.

Cell: 4.746 7.547 8.194 Å, 90.00 124.67 90.00°
Fractional positions:
Ga 0.000 0.004 0.000
Ga 0.000 0.996 0.500
Se 0.367 0.254 0.998
Se 0.367 0.746 0.498
S 0.528 0.185 0.704
S 0.528 0.815 0.204
S 0.689 0.232 0.525
S 0.689 0.768 0.025
S 0.918 0.208 0.213
S 0.918 0.792 0.713

19.
First-principles (PBE) data for a relaxed GaSe2S crystal, as listed in Alexandria.

Cell: 3.521 3.521 26.524 Å, 90.00 90.00 120.00°
Fractional positions:
Ga 0.000 0.000 0.000
Ga 0.333 0.667 0.667
Ga 0.667 0.333 0.333
Se 0.000 0.000 0.106
Se 0.000 0.000 0.894
Se 0.333 0.667 0.561
Se 0.333 0.667 0.773
Se 0.667 0.333 0.227
Se 0.667 0.333 0.439
S 0.000 0.000 0.500
S 0.333 0.667 0.167
S 0.667 0.333 0.833

20.
First-principles (PBE) data for a relaxed GaSe2S crystal, as listed in Alexandria.

Cell: 6.709 6.709 6.709 Å, 90.00 90.00 90.00°
Fractional positions:
Ga 0.000 0.000 0.000
Ga 0.000 0.500 0.500
Ga 0.500 0.000 0.500
Ga 0.500 0.500 0.000
Se 0.250 0.250 0.250
Se 0.250 0.250 0.750
Se 0.250 0.750 0.250
Se 0.250 0.750 0.750
Se 0.750 0.250 0.250
Se 0.750 0.250 0.750
Se 0.750 0.750 0.250
Se 0.750 0.750 0.750
S 0.000 0.000 0.500
S 0.000 0.500 0.000
S 0.500 0.000 0.000
S 0.500 0.500 0.500

Q: Which theoretical density values were calculated for the entries above? A: 3.3; 2.9; 3.2; 2.4; 3.9; 3.7; 4.2; 3.1; 3.4; 7.5; 4.2; 3.9; 4.9; 3.5; 5.9; 5.0; 3.1; 3.4; 4.5; 5.7, in g/cm3.
Q: Which electronic total energy values were calculated for the entries above? A: -42.7; -58.5; -27.7; -27.6; -15.9; -74.2; -51.8; -22.3; -37.7; -30.1; -23.7; -16.8; -74.2; -27.3; -36.9; -79.1; -33.8; -19.2; -12.5; -12.3, in eV per formula unit.